1.
# Er6Tm3In PBE-GGA optimized geometry
data_Er6Tm3In
_cell_length_a 9.480
_cell_length_b 5.490
_cell_length_c 12.284
_cell_angle_alpha 90.00
_cell_angle_beta 111.20
_cell_angle_gamma 90.00
_symmetry_space_group_name_H-M 'P 1'
_symmetry_Int_Tables_number 1
_symmetry_space_group_name_Hall 'P 1'
loop_
_atom_site_label
_atom_site_type_symbol
_atom_site_fract_x
_atom_site_fract_y
_atom_site_fract_z
Er1 Er 0.039 0.250 0.431
Er2 Er 0.188 0.750 0.167
Er3 Er 0.255 0.250 0.012
Er4 Er 0.346 0.750 0.794
Er5 Er 0.347 0.250 0.327
Er6 Er 0.426 0.250 0.639
Er7 Er 0.574 0.750 0.361
Er8 Er 0.653 0.750 0.673
Er9 Er 0.654 0.250 0.206
Er10 Er 0.745 0.750 0.988
Er11 Er 0.812 0.250 0.833
Er12 Er 0.961 0.750 0.569
Tm1 Tm 0.027 0.750 0.867
Tm2 Tm 0.100 0.250 0.721
Tm3 Tm 0.272 0.750 0.472
Tm4 Tm 0.728 0.250 0.528
Tm5 Tm 0.900 0.750 0.279
Tm6 Tm 0.973 0.250 0.133
In1 In 0.468 0.750 0.082
In2 In 0.532 0.250 0.918
# Calculated volume   29.80 A^3/atom
# Relative energy among the computed polymorphs   0 meV/atom
# Magnetization   0.00 μB per formula unit
# ΔE_f   -7 kJ per mole of atoms
# VASP energy   -4.4284 eV per atom



2.
# ErTm2In2 PBE-GGA optimized geometry
data_ErTm2In2
_cell_length_a 3.701
_cell_length_b 5.289
_cell_length_c 13.807
_cell_angle_alpha 90.00
_cell_angle_beta 97.72
_cell_angle_gamma 90.00
_symmetry_space_group_name_H-M 'P 1'
_symmetry_Int_Tables_number 1
_symmetry_space_group_name_Hall 'P 1'
loop_
_atom_site_label
_atom_site_type_symbol
_atom_site_fract_x
_atom_site_fract_y
_atom_site_fract_z
Er1 Er 0.149 0.250 0.300
Er2 Er 0.851 0.750 0.700
Tm1 Tm 0.048 0.750 0.096
Tm2 Tm 0.238 0.750 0.475
Tm3 Tm 0.762 0.250 0.525
Tm4 Tm 0.952 0.250 0.904
In1 In 0.357 0.250 0.713
In2 In 0.450 0.750 0.900
In3 In 0.550 0.250 0.100
In4 In 0.643 0.750 0.287
# Calculated volume   26.78 A^3/atom
# Relative energy among the computed polymorphs   0 meV/atom
# Magnetization   0.00 μB per formula unit
# ΔE_f   -35 kJ per mole of atoms
# VASP energy   -4.1599 eV per atom



3.
# Er2Tm3In2 PBE-GGA optimized geometry
data_Er2Tm3In2
_cell_length_a 11.785
_cell_length_b 11.785
_cell_length_c 3.410
_cell_angle_alpha 90.00
_cell_angle_beta 90.00
_cell_angle_gamma 155.85
_symmetry_space_group_name_H-M 'P 1'
_symmetry_Int_Tables_number 1
_symmetry_space_group_name_Hall 'P 1'
loop_
_atom_site_label
_atom_site_type_symbol
_atom_site_fract_x
_atom_site_fract_y
_atom_site_fract_z
Er1 Er 0.214 0.786 0.000
Er2 Er 0.786 0.214 0.000
Tm1 Tm 0.355 0.645 0.500
Tm2 Tm 0.500 0.500 0.500
Tm3 Tm 0.645 0.355 0.500
In1 In 0.071 0.929 0.000
In2 In 0.929 0.071 0.000
# Calculated volume   27.68 A^3/atom
# Relative energy among the computed polymorphs   125 meV/atom
# Magnetization   0.31 μB per formula unit
# ΔE_f   -14 kJ per mole of atoms
# VASP energy   -4.1466 eV per atom



4.
# Er12Tm5In2 PBE-GGA optimized geometry
data_Er12Tm5In2
_cell_length_a 8.901
_cell_length_b 8.901
_cell_length_c 8.209
_cell_angle_alpha 90.94
_cell_angle_beta 90.94
_cell_angle_gamma 61.80
_symmetry_space_group_name_H-M 'P 1'
_symmetry_Int_Tables_number 1
_symmetry_space_group_name_Hall 'P 1'
loop_
_atom_site_label
_atom_site_type_symbol
_atom_site_fract_x
_atom_site_fract_y
_atom_site_fract_z
Er1 Er 0.053 0.053 0.325
Er2 Er 0.072 0.678 0.341
Er3 Er 0.163 0.534 0.761
Er4 Er 0.322 0.928 0.659
Er5 Er 0.412 0.412 0.111
Er6 Er 0.466 0.837 0.239
Er7 Er 0.534 0.163 0.761
Er8 Er 0.588 0.588 0.889
Er9 Er 0.678 0.072 0.341
Er10 Er 0.837 0.466 0.239
Er11 Er 0.928 0.322 0.659
Er12 Er 0.947 0.947 0.675
Tm1 Tm 0.190 0.190 0.004
Tm2 Tm 0.264 0.264 0.419
Tm3 Tm 0.500 0.500 0.500
Tm4 Tm 0.736 0.736 0.581
Tm5 Tm 0.810 0.810 0.996
In1 In 0.182 0.818 0.000
In2 In 0.818 0.182 0.000
# Calculated volume   30.17 A^3/atom
# Magnetization   0.00 μB per formula unit
# ΔE_f   0 kJ per mole of atoms
# VASP energy   -4.3475 eV per atom



5.
# Er5Tm2In4 PBE-GGA optimized geometry
data_Er5Tm2In4
_cell_length_a 8.694
_cell_length_b 8.694
_cell_length_c 8.694
_cell_angle_alpha 145.14
_cell_angle_beta 107.59
_cell_angle_gamma 82.94
_symmetry_space_group_name_H-M 'P 1'
_symmetry_Int_Tables_number 1
_symmetry_space_group_name_Hall 'P 1'
loop_
_atom_site_label
_atom_site_type_symbol
_atom_site_fract_x
_atom_site_fract_y
_atom_site_fract_z
Er1 Er 0.000 0.000 0.000
Er2 Er 0.118 0.275 0.843
Er3 Er 0.433 0.275 0.157
Er4 Er 0.567 0.725 0.843
Er5 Er 0.882 0.725 0.157
Tm1 Tm 0.168 0.668 0.500
Tm2 Tm 0.832 0.332 0.500
In1 In 0.213 0.500 0.713
In2 In 0.392 0.892 0.500
In3 In 0.608 0.108 0.500
In4 In 0.787 0.500 0.287
# Calculated volume   31.67 A^3/atom
# Relative energy among the computed polymorphs   305 meV/atom
# Magnetization   0.00 μB per formula unit
# ΔE_f   8 kJ per mole of atoms
# VASP energy   -3.8026 eV per atom



6.
# Er4TmIn2 PBE-GGA optimized geometry
data_Er4TmIn2
_cell_length_a 6.250
_cell_length_b 11.650
_cell_length_c 6.550
_cell_angle_alpha 90.00
_cell_angle_beta 121.23
_cell_angle_gamma 90.00
_symmetry_space_group_name_H-M 'P 1'
_symmetry_Int_Tables_number 1
_symmetry_space_group_name_Hall 'P 1'
loop_
_atom_site_label
_atom_site_type_symbol
_atom_site_fract_x
_atom_site_fract_y
_atom_site_fract_z
Er1 Er 0.065 0.212 0.163
Er2 Er 0.065 0.288 0.663
Er3 Er 0.425 0.621 0.848
Er4 Er 0.425 0.879 0.348
Er5 Er 0.575 0.121 0.652
Er6 Er 0.575 0.379 0.152
Er7 Er 0.935 0.712 0.337
Er8 Er 0.935 0.788 0.837
Tm1 Tm 0.000 0.000 0.500
Tm2 Tm 0.000 0.500 0.000
In1 In 0.493 0.115 0.097
In2 In 0.493 0.385 0.597
In3 In 0.507 0.615 0.403
In4 In 0.507 0.885 0.903
# Calculated volume   29.13 A^3/atom
# Relative energy among the computed polymorphs   0 meV/atom
# Magnetization   0.00 μB per formula unit
# ΔE_f   -12 kJ per mole of atoms
# VASP energy   -4.1513 eV per atom